Entry 1:
Here is a geometry-optimized AlPt2Au structure from Alexandria via LeMat-Bulk. Energies are from GGA-PBE.

Total magnetic moment: 0.000 μB per atom
Formation energy from the elements: -1.4 eV per formula unit

Cell lengths 8.9447, 8.9447, 8.9447 Å; angles 18.60, 18.60, 18.60 degrees
Closest atoms and distances in Å follow each position.
Fractional positions:
Al (0.0000, 0.0000, 0.0000)  3 Pt 2.54, 3 Au 2.67
Pt (0.2609, 0.2609, 0.2609)  3 Al 2.54
Pt (0.5040, 0.5040, 0.5040)  9 Pt 2.89-2.91, 3 Au 2.94
Au (0.7457, 0.7457, 0.7457)  3 Al 2.67, 6 Au 2.89, 3 Pt 2.94

***

Entry 2:
Here is a geometry-optimized AlPt2Au structure from Alexandria via LeMat-Bulk. Energies are from GGA-PBE.

Total magnetic moment: 0.000 μB per atom
Formation energy from the elements: -2.5 eV per formula unit

Cell lengths 2.9201, 2.9201, 7.3557 Å; angles 90.00, 90.00, 90.00 degrees
Closest atoms and distances in Å follow each position.
Fractional positions:
Al (0.0000, 0.0000, 0.0000)  8 Pt 2.60
Pt (0.5000, 0.5000, 0.2149)  4 Al 2.60
Pt (0.5000, 0.5000, 0.7851)  4 Al 2.60
Au (0.0000, 0.0000, 0.5000)  4 Au 2.92, 8 Pt 2.94

***

Entry 3:
Here is a geometry-optimized AlPt2Au structure from Alexandria via LeMat-Bulk. Energies are from GGA-PBE.

Total magnetic moment: 0.000 μB per atom
Formation energy from the elements: -1.7 eV per formula unit

Cell lengths 2.9096, 4.0165, 5.6796 Å; angles 90.00, 104.65, 90.00 degrees
Closest atoms and distances in Å follow each position.
Fractional positions:
Al (0.0000, 0.0000, 0.0000)  5 Pt 2.50-2.64, 2 Au 2.61
Pt (0.4209, 0.5000, 0.8375)  4 Al 2.63-2.64, 2 Pt 2.91, 3 Au 2.93-2.95
Pt (0.7771, 0.0000, 0.5459)  1 Al 2.50
Au (0.1569, 0.5000, 0.3025)  2 Al 2.61, 4 Pt 2.82, 2 Au 2.91

***

In eV/atom, the electronic total energy values for the records above are, in order, -5.14; -5.40; -5.21.